A plane-wave DFT calculation with GGA-PBEsol was carried out for a geometry-optimized NaAsOsSe2 structure.

Output
- formation energy from raw total energies (eV/atom) = 1.87
- symmetry = P4/mmm
- total magnetization (μB per formula unit) = 0.23

Cell and atoms, written as POSCAR:
```
NaAsOsSe2
1.0
4.6225 0.0000 0.0000
0.0000 4.7513 0.0000
0.0000 0.0000 4.7513
Na As Os Se
1 1 1 2
Direct
0.0000 0.0000 0.0000
0.5000 0.0000 0.0000
0.5000 0.5000 0.5000
0.0000 0.0000 0.5000
0.0000 0.5000 0.0000
```

A plane-wave DFT calculation with GGA-PBEsol was carried out for a geometry-optimized NbAlSe2Cl structure.

Output
- formation energy from raw total energies (eV/atom) = 0.95
- symmetry = P4/mmm
- total magnetization (μB per formula unit) = 2.55

Cell and atoms, written as POSCAR:
```
NbAlSe2Cl
1.0
-1.9604 0.4479 -3.9348
-4.4112 -0.6894 2.1192
-0.3990 4.8681 0.7530
Nb Al Se Cl
1 1 2 1
Direct
0.5000 0.5000 0.5000
0.5000 0.0000 0.0000
0.0000 0.0000 0.5000
0.0000 0.5000 0.0000
0.0000 0.0000 0.0000
```

A plane-wave DFT calculation with GGA-PBEsol was carried out for a geometry-optimized Y2FeRh structure.

Output
- E_form (eV per formula unit) = 0.104
- symmetry = Pmm2
- total magnetization (μB per formula unit) = 1.46

Cell and atoms, written as POSCAR:
```
Y2FeRh
1.0
-2.7443 1.5206 0.4448
0.2234 -0.8792 4.3837
2.7683 4.7580 0.8132
Fe Rh Y
1 1 2
Direct
0.0000 0.0000 0.4492
0.5000 0.5000 0.8007
0.0000 0.0000 0.9316
0.5000 0.5000 0.3184
```

A plane-wave DFT calculation with GGA-PBEsol was carried out for a geometry-optimized CuNiBr2 structure.

Output
- formation energy from raw total energies (eV/atom) = 0.11
- E above lowest polymorph (meV per atom) = 0.0
- symmetry = Imm2
- total magnetization (μB per formula unit) = 0.07

Cell and atoms, written as POSCAR:
```
CuNiBr2
1.0
-0.2814 1.2887 -3.0530
2.3052 -2.2889 -1.1787
-6.0091 -3.8288 0.7492
Br Cu Ni
2 1 1
Direct
0.0046 0.0046 0.0091
0.2570 0.7570 0.5140
0.4406 0.4406 0.8811
0.7979 0.2979 0.5958
```

Which value of total magnetization does entry 2 give? 2.55 μB per formula unit

What is the total magnetization in the fourth record? 0.07 μB per formula unit

Among the records above, which one has the lowest total magnetization? CuNiBr2

Which formula does entry 1 have? NaAsOsSe2